SrLiCuSi | PBE | relaxed

Geometry as CIF:
```
data_SrLiCuSi
_cell_length_a 7.388
_cell_length_b 4.254
_cell_length_c 5.817
_cell_angle_alpha 90.00
_cell_angle_beta 114.99
_cell_angle_gamma 90.00
_space_group_name_H-M_alt 'C 1 m 1'
_space_group_IT_number 8
_space_group_name_Hall 'C -2y'
loop_
_atom_site_label
_atom_site_type_symbol
_atom_site_fract_x
_atom_site_fract_y
_atom_site_fract_z
_atom_site_occupancy
Sr1 Sr 0.000 0.000 0.000 1
Li1 Li 0.310 0.500 0.429 1
Cu1 Cu 0.196 0.000 0.587 1
Si1 Si 0.021 0.500 0.563 1
```

***

LiTaCuSi2 | PBE | relaxed

Geometry as CIF:
```
data_LiTaCuSi2
_cell_length_a 4.103
_cell_length_b 4.103
_cell_length_c 4.395
_cell_angle_alpha 90.00
_cell_angle_beta 90.00
_cell_angle_gamma 90.00
_space_group_name_H-M_alt 'P 4/m m m'
_space_group_IT_number 123
_space_group_name_Hall '-P 4 2'
loop_
_atom_site_label
_atom_site_type_symbol
_atom_site_fract_x
_atom_site_fract_y
_atom_site_fract_z
_atom_site_occupancy
Li1 Li 0.000 0.000 0.000 1
Ta1 Ta 0.000 0.000 0.500 1
Cu1 Cu 0.500 0.500 0.500 1
Si1 Si 0.000 0.500 0.000 1
```

***

LiTaCuSi2 | PBE | relaxed

Geometry as CIF:
```
data_LiTaCuSi2
_cell_length_a 4.878
_cell_length_b 4.878
_cell_length_c 4.924
_cell_angle_alpha 90.00
_cell_angle_beta 90.00
_cell_angle_gamma 90.00
_space_group_name_H-M_alt 'P 4/m m m'
_space_group_IT_number 123
_space_group_name_Hall '-P 4 2'
loop_
_atom_site_label
_atom_site_type_symbol
_atom_site_fract_x
_atom_site_fract_y
_atom_site_fract_z
_atom_site_occupancy
Li1 Li 0.000 0.000 0.000 1
Ta1 Ta 0.500 0.500 0.500 1
Cu1 Cu 0.500 0.500 0.000 1
Si1 Si 0.000 0.500 0.500 1
```

***

LiTbCuSi2 | PBE | relaxed

Geometry as CIF:
```
data_LiTbCuSi2
_cell_length_a 3.988
_cell_length_b 3.988
_cell_length_c 10.280
_cell_angle_alpha 90.00
_cell_angle_beta 90.00
_cell_angle_gamma 90.00
_space_group_name_H-M_alt 'I -4 m 2'
_space_group_IT_number 119
_space_group_name_Hall 'I -4 -2'
loop_
_atom_site_label
_atom_site_type_symbol
_atom_site_fract_x
_atom_site_fract_y
_atom_site_fract_z
_atom_site_occupancy
Li1 Li 0.000 0.000 0.000 1
Tb1 Tb 0.000 0.500 0.750 1
Cu1 Cu 0.000 0.000 0.500 1
Si1 Si 0.000 0.500 0.136 1
```

***

LiCuSiTc2 | PBE | relaxed

Geometry as CIF:
```
data_LiCuSiTc2
_cell_length_a 4.252
_cell_length_b 4.252
_cell_length_c 3.669
_cell_angle_alpha 90.00
_cell_angle_beta 90.00
_cell_angle_gamma 90.00
_space_group_name_H-M_alt 'P 4/m m m'
_space_group_IT_number 123
_space_group_name_Hall '-P 4 2'
loop_
_atom_site_label
_atom_site_type_symbol
_atom_site_fract_x
_atom_site_fract_y
_atom_site_fract_z
_atom_site_occupancy
Li1 Li 0.000 0.000 0.000 1
Cu1 Cu 0.000 0.000 0.500 1
Si1 Si 0.500 0.500 0.500 1
Tc1 Tc 0.000 0.500 0.000 1
```

***

LiCuSi2Te6 | PBE | relaxed

Geometry as CIF:
```
data_LiCuSi2Te6
_cell_length_a 13.556
_cell_length_b 13.332
_cell_length_c 7.025
_cell_angle_alpha 90.00
_cell_angle_beta 106.67
_cell_angle_gamma 90.00
_space_group_name_H-M_alt 'C 1 2/c 1'
_space_group_IT_number 15
_space_group_name_Hall '-C 2yc'
loop_
_atom_site_label
_atom_site_type_symbol
_atom_site_fract_x
_atom_site_fract_y
_atom_site_fract_z
_atom_site_occupancy
Li1 Li 0.000 0.120 0.250 1
Cu1 Cu 0.000 0.210 0.750 1
Si1 Si 0.197 0.428 0.211 1
Te1 Te 0.108 0.060 0.660 1
Te2 Te 0.120 0.418 0.501 1
Te3 Te 0.143 0.254 0.066 1
```

***

LiThCuSi2 | PBE | relaxed

Geometry as CIF:
```
data_LiThCuSi2
_cell_length_a 4.128
_cell_length_b 4.128
_cell_length_c 10.056
_cell_angle_alpha 90.00
_cell_angle_beta 90.00
_cell_angle_gamma 90.00
_space_group_name_H-M_alt 'I -4 m 2'
_space_group_IT_number 119
_space_group_name_Hall 'I -4 -2'
loop_
_atom_site_label
_atom_site_type_symbol
_atom_site_fract_x
_atom_site_fract_y
_atom_site_fract_z
_atom_site_occupancy
Li1 Li 0.000 0.000 0.000 1
Th1 Th 0.000 0.500 0.750 1
Cu1 Cu 0.000 0.000 0.500 1
Si1 Si 0.000 0.500 0.132 1
```

***

LiTiCuSi | PBE | relaxed

Geometry as CIF:
```
data_LiTiCuSi
_cell_length_a 6.036
_cell_length_b 6.036
_cell_length_c 6.036
_cell_angle_alpha 90.00
_cell_angle_beta 90.00
_cell_angle_gamma 90.00
_space_group_name_H-M_alt 'F -4 3 m'
_space_group_IT_number 216
_space_group_name_Hall 'F -4 2 3'
loop_
_atom_site_label
_atom_site_type_symbol
_atom_site_fract_x
_atom_site_fract_y
_atom_site_fract_z
_atom_site_occupancy
Li1 Li 0.000 0.000 0.000 1
Ti1 Ti 0.000 0.000 0.500 1
Cu1 Cu 0.250 0.250 0.750 1
Si1 Si 0.250 0.250 0.250 1
```

***

The records above give, respectively, Fermi-level density of states values of 2.23 3.00 3.76 2.82 5.43 20.75 3.76 5.87 states/eV per cell.
The records above give, respectively, raw formation energy values of -0.3112 0.9178 0.6955 -0.5566 1.0195 -0.0833 -0.5464 -0.2514 eV/atom.